[1]
# GGA-PBE La15Y4Tl, optimized geometry
data_La15Y4Tl
_chemical_formula_sum 'La15 Y4 Tl1'
_cell_length_a 5.1791
_cell_length_b 5.1791
_cell_length_c 26.1281
_cell_angle_alpha 90.00
_cell_angle_beta 90.00
_cell_angle_gamma 90.00
_symmetry_space_group_name_H-M 'P 4/m m m'
_symmetry_Int_Tables_number 123
_symmetry_space_group_name_Hall '-P 4 2'
loop_
_atom_site_label
_atom_site_type_symbol
_atom_site_fract_x
_atom_site_fract_y
_atom_site_fract_z
La1 La 0.0000 0.0000 0.0000
La2 La 0.0000 0.0000 0.1986
La3 La 0.0000 0.0000 0.3989
La4 La 0.0000 0.5000 0.0973
La5 La 0.0000 0.5000 0.2990
La6 La 0.0000 0.5000 0.5000
Y1 Y 0.5000 0.5000 0.1985
Y2 Y 0.5000 0.5000 0.3998
Tl1 Tl 0.5000 0.5000 0.0000
# * formation enthalpy at 0 K: -0.03 eV/atom


[2]
# GGA-PBE Ag3GeBi, optimized geometry
data_Ag3GeBi
_chemical_formula_sum 'Ag3 Ge1 Bi1'
_cell_length_a 5.3503
_cell_length_b 5.3503
_cell_length_c 5.3503
_cell_angle_alpha 90.00
_cell_angle_beta 90.00
_cell_angle_gamma 90.00
_symmetry_space_group_name_H-M 'P m -3 m'
_symmetry_Int_Tables_number 221
_symmetry_space_group_name_Hall '-P 4 2 3'
loop_
_atom_site_label
_atom_site_type_symbol
_atom_site_fract_x
_atom_site_fract_y
_atom_site_fract_z
Ag1 Ag 0.0000 0.0000 0.5000
Ge1 Ge 0.5000 0.5000 0.5000
Bi1 Bi 0.0000 0.0000 0.0000
# * formation enthalpy at 0 K: 0.85 eV/atom


[3]
# GGA-PBE NpFeSb2, optimized geometry
data_NpFeSb2
_chemical_formula_sum 'Np3 Fe3 Sb6'
_cell_length_a 3.2016
_cell_length_b 3.2016
_cell_length_c 31.4171
_cell_angle_alpha 90.00
_cell_angle_beta 90.00
_cell_angle_gamma 120.00
_symmetry_space_group_name_H-M 'R -3 m'
_symmetry_Int_Tables_number 166
_symmetry_space_group_name_Hall '-R 3 2"'
loop_
_atom_site_label
_atom_site_type_symbol
_atom_site_fract_x
_atom_site_fract_y
_atom_site_fract_z
Np1 Np 0.0000 0.0000 0.0000
Fe1 Fe 0.0000 0.0000 0.5000
Sb1 Sb 0.0000 0.0000 0.4177
# * ΔE_f (raw): 0.48 eV/atom


[4]
# GGA-PBE Be2WCl, optimized geometry
data_Be2WCl
_chemical_formula_sum 'Be4 W2 Cl2'
_cell_length_a 7.3112
_cell_length_b 2.8244
_cell_length_c 6.0415
_cell_angle_alpha 90.00
_cell_angle_beta 97.29
_cell_angle_gamma 90.00
_symmetry_space_group_name_H-M 'C 1 m 1'
_symmetry_Int_Tables_number 8
loop_
_symmetry_equiv_pos_as_xyz
'x,y,z'
'x,-y,z'
'x+1/2,y+1/2,z'
'x+1/2,-y+1/2,z'
loop_
_atom_site_label
_atom_site_type_symbol
_atom_site_fract_x
_atom_site_fract_y
_atom_site_fract_z
Be1 Be 0.0000 0.0000 0.0000
Be2 Be 0.2309 0.5000 0.1376
W1 W 0.4682 0.0000 0.3171
Cl1 Cl 0.0312 0.0000 0.6635
# * ΔE_f (raw): 0.33 eV/atom


[5]
# GGA-PBE CaAl2Ni, optimized geometry
data_CaAl2Ni
_chemical_formula_sum 'Ca2 Al4 Ni2'
_cell_length_a 7.3019
_cell_length_b 4.2201
_cell_length_c 5.8196
_cell_angle_alpha 90.00
_cell_angle_beta 114.77
_cell_angle_gamma 90.00
_symmetry_space_group_name_H-M 'C 1 m 1'
_symmetry_Int_Tables_number 8
loop_
_symmetry_equiv_pos_as_xyz
'x,y,z'
'x,-y,z'
'x+1/2,y+1/2,z'
'x+1/2,-y+1/2,z'
loop_
_atom_site_label
_atom_site_type_symbol
_atom_site_fract_x
_atom_site_fract_y
_atom_site_fract_z
Ca1 Ca 0.0000 0.0000 0.0000
Al1 Al 0.1980 0.0000 0.5931
Al2 Al 0.4675 0.0000 0.4018
Ni1 Ni 0.3187 0.5000 0.4550
# * formation enthalpy at 0 K: -0.40 eV/atom


[6]
# GGA-PBE Pu2Sn3Au5, optimized geometry
data_Pu2Sn3Au5
_chemical_formula_sum 'Pu8 Sn12 Au20'
_cell_length_a 4.6945
_cell_length_b 26.3346
_cell_length_c 7.3736
_cell_angle_alpha 90.00
_cell_angle_beta 90.00
_cell_angle_gamma 90.00
_symmetry_space_group_name_H-M 'C m c 21'
_symmetry_Int_Tables_number 36
loop_
_symmetry_equiv_pos_as_xyz
'x,y,z'
'-x,-y,z+1/2'
'-x,y,z'
'x,-y,z+1/2'
'x+1/2,y+1/2,z'
'-x+1/2,-y+1/2,z+1/2'
'-x+1/2,y+1/2,z'
'x+1/2,-y+1/2,z+1/2'
loop_
_atom_site_label
_atom_site_type_symbol
_atom_site_fract_x
_atom_site_fract_y
_atom_site_fract_z
Pu1 Pu 0.0000 0.0189 0.0000
Pu2 Pu 0.0000 0.3216 0.9301
Sn1 Sn 0.0000 0.1093 0.6769
Sn2 Sn 0.0000 0.2851 0.4212
Sn3 Sn 0.0000 0.4523 0.8131
Au1 Au 0.0000 0.1075 0.2808
Au2 Au 0.0000 0.2073 0.1483
Au3 Au 0.0000 0.2143 0.7050
Au4 Au 0.0000 0.3869 0.5147
Au5 Au 0.0000 0.4472 0.1950
# * formation enthalpy at 0 K: -0.34 eV/atom


[7]
# GGA-PBE CdH2F6, optimized geometry
data_CdH2F6
_chemical_formula_sum 'Cd4 H8 F24'
_cell_length_a 8.1067
_cell_length_b 9.4813
_cell_length_c 6.6771
_cell_angle_alpha 90.00
_cell_angle_beta 107.15
_cell_angle_gamma 90.00
_symmetry_space_group_name_H-M 'C 1 2/c 1'
_symmetry_Int_Tables_number 15
loop_
_symmetry_equiv_pos_as_xyz
'x,y,z'
'-x,-y,-z'
'-x,y,-z+1/2'
'x,-y,z+1/2'
'x+1/2,y+1/2,z'
'-x+1/2,-y+1/2,-z'
'-x+1/2,y+1/2,-z+1/2'
'x+1/2,-y+1/2,z+1/2'
loop_
_atom_site_label
_atom_site_type_symbol
_atom_site_fract_x
_atom_site_fract_y
_atom_site_fract_z
Cd1 Cd 0.0000 0.0792 0.2500
H1 H 0.2131 0.1970 0.7014
F1 F 0.0602 0.4517 0.5675
F2 F 0.1211 0.0951 0.6035
F3 F 0.2158 0.2178 0.2155
# * E_tot: -3.54 eV per atom